Here is a relaxed structure of PrDyBr from the Alexandria database. Energies are from PBE-GGA.

Calculated values
- Magnetic moment: 0.0000 μB/atom
- Space-group type: R-3m
- Calculated volume: 38.0 Å³/atom
- VASP energy: -24.9 eV per cell

Cell: 8.687 8.687 8.687 Å, 38.46 38.46 38.46°
Fractional positions:
Pr1 0.073 0.073 0.073
Pr2 0.927 0.927 0.927
Dy1 0.321 0.321 0.321
Dy2 0.679 0.679 0.679
Br1 0.203 0.203 0.203
Br2 0.797 0.797 0.797



Here is a relaxed structure of Zn2PRh from the Alexandria database. Energies are from PBE-GGA.

Calculated values
- Magnetic moment: 0.0000 μB/atom
- Space-group type: P4mm
- Formation energy: -161 meV per atom
- Calculated volume: 15.2 Å³/atom

Cell: 2.901 2.901 7.206 Å, 90.00 90.00 90.00°
Fractional positions:
Zn1 0.000 0.000 0.000
Zn2 0.500 0.500 0.258
P1 0.000 0.000 0.558
Rh1 0.500 0.500 0.734



Here is a relaxed structure of LaTiBi3 from the Alexandria database. Energies are from PBE-GGA.

Calculated values
- Magnetic moment: 0.0000 μB/atom
- Space-group type: Pbcm
- Formation energy: -525 meV per atom
- Calculated volume: 29.4 Å³/atom

Cell: 13.785 6.647 6.411 Å, 90.00 90.00 90.00°
Fractional positions:
La1 0.188 0.009 0.250
La2 0.188 0.491 0.750
La3 0.812 0.509 0.250
La4 0.812 0.991 0.750
Ti1 0.409 0.750 0.000
Ti2 0.409 0.750 0.500
Ti3 0.591 0.250 0.000
Ti4 0.591 0.250 0.500
Bi1 0.003 0.750 0.000
Bi2 0.003 0.750 0.500
Bi3 0.273 0.513 0.250
Bi4 0.273 0.987 0.750
Bi5 0.431 0.105 0.250
Bi6 0.431 0.395 0.750
Bi7 0.569 0.605 0.250
Bi8 0.569 0.895 0.750
Bi9 0.727 0.013 0.250
Bi10 0.727 0.487 0.750
Bi11 0.997 0.250 0.000
Bi12 0.997 0.250 0.500



Here is a relaxed structure of SrCr3S from the Alexandria database. Energies are from PBE-GGA.

Calculated values
- Magnetic moment: 1.2657 μB/atom
- Space-group type: Pm-3m
- Calculated volume: 17.9 Å³/atom
- VASP energy: -32.3 eV per cell

Cell: 4.477 4.477 4.477 Å, 90.00 90.00 90.00°
Fractional positions:
Sr1 0.000 0.000 0.000
Cr1 0.000 0.500 0.500
Cr2 0.500 0.000 0.500
Cr3 0.500 0.500 0.000
S1 0.500 0.500 0.500



Here is a relaxed structure of SmDyHo5Er2 from the Alexandria database. Energies are from PBE-GGA.

Calculated values
- Magnetic moment: 0.0000 μB/atom
- Space-group type: Cmc2_1
- Formation energy: 161 meV per atom
- Calculated volume: 32.0 Å³/atom

Cell: 10.240 10.240 10.513 Å, 90.00 90.00 148.45°
Fractional positions:
Sm1 0.085 0.915 0.500
Sm2 0.915 0.085 0.000
Dy1 0.300 0.700 0.059
Dy2 0.700 0.300 0.559
Ho1 0.021 0.979 0.784
Ho2 0.111 0.889 0.070
Ho3 0.201 0.799 0.756
Ho4 0.218 0.782 0.358
Ho5 0.482 0.518 0.072
Ho6 0.518 0.482 0.572
Ho7 0.782 0.218 0.858
Ho8 0.799 0.201 0.256
Ho9 0.889 0.111 0.570
Ho10 0.979 0.021 0.284
Er1 0.386 0.614 0.366
Er2 0.390 0.610 0.784
Er3 0.610 0.390 0.284
Er4 0.614 0.386 0.866



Here is a relaxed structure of KTi2Ga from the Alexandria database. Energies are from PBE-GGA.

Calculated values
- Magnetic moment: 0.0000 μB/atom
- Space-group type: I-42d
- Formation energy: 856 meV per atom
- Calculated volume: 27.1 Å³/atom

Cell: 10.643 10.643 10.643 Å, 154.90 154.90 35.79°
Fractional positions:
K1 0.000 0.000 0.000
K2 0.750 0.250 0.500
Ti1 0.319 0.625 0.194
Ti2 0.375 0.569 0.694
Ti3 0.431 0.125 0.806
Ti4 0.875 0.681 0.306
Ga1 0.250 0.750 0.500
Ga2 0.500 0.500 0.000



Here is a relaxed structure of LiPuSbAu from the Alexandria database. Energies are from PBE-GGA.

Calculated values
- Magnetic moment: 1.3182 μB/atom
- Space-group type: F-43m
- Calculated volume: 22.9 Å³/atom
- VASP energy: -25.7 eV per cell

Cell: 5.058 5.058 5.058 Å, 60.00 60.00 60.00°
Fractional positions:
Li1 0.000 0.000 0.000
Pu1 0.500 0.500 0.500
Sb1 0.250 0.250 0.250
Au1 0.750 0.750 0.750



Here is a relaxed structure of Ni2PPt from the Alexandria database. Energies are from PBE-GGA.

Calculated values
- Magnetic moment: 0.0000 μB/atom
- Space-group type: P2/m
- Formation energy: -246 meV per atom
- Calculated volume: 12.8 Å³/atom

Cell: 3.071 3.566 4.904 Å, 90.00 107.84 90.00°
Fractional positions:
Ni1 0.137 0.000 0.283
Ni2 0.863 0.000 0.717
P1 0.500 0.500 0.500
Pt1 0.500 0.500 0.000